(1)
A relaxed structure of EuCrGe2, computed with PBE.

## Properties
crystal system: trigonal
calculated formation energy: -0.9 eV per formula unit
calculated density: 6.955 g/cm3

abc: 4.1879 4.1879 16.4699
angles: 90.00 90.00 120.00
Space group R-3m (No. 166, hexagonal axes)
One atom of each set of equivalent atoms:
Eu: 0.0000 0.0000 0.0000 [3 per cell]
Cr: 0.0000 0.0000 0.5000 [3 per cell]
Ge: 0.0000 0.0000 0.2184 [6 per cell]

***

(2)
A relaxed structure of EuCrGe3, computed with PBE.

## Properties
crystal system: cubic
calculated formation energy: -0.9 eV per formula unit
calculated density: 6.780 g/cm3

abc: 4.693 4.693 4.693
angles: 90.00 90.00 90.00
Space group Pm-3m (No. 221)
One atom of each set of equivalent atoms:
Eu: 0.000 0.000 0.000 [1 per cell]
Cr: 0.500 0.500 0.500 [1 per cell]
Ge: 0.000 0.500 0.500 [3 per cell]

***

(3)
A relaxed structure of Eu2CrH4, computed with PBE.

## Properties
crystal system: tetragonal
uncorrected energy: -6.476 eV per atom
calculated density: 6.775 g/cm3

abc: 3.787 3.787 12.301
angles: 90.00 90.00 90.00
Space group I4/mmm (No. 139)
One atom of each set of equivalent atoms:
Eu: 0.000 0.000 0.146 [4 per cell]
Cr: 0.000 0.000 0.500 [2 per cell]
H: 0.000 0.000 0.352 [4 per cell]
H: 0.000 0.500 0.000 [4 per cell]

***

(4)
A relaxed structure of EuCrH3, computed with PBE.

## Properties
crystal system: cubic
uncorrected energy: -6.219 eV per atom
calculated density: 6.292 g/cm3

abc: 3.794 3.794 3.794
angles: 90.00 90.00 90.00
Space group Pm-3m (No. 221)
One atom of each set of equivalent atoms:
Eu: 0.000 0.000 0.000 [1 per cell]
Cr: 0.500 0.500 0.500 [1 per cell]
H: 0.000 0.500 0.500 [3 per cell]